First-principles (PBE) data for a geometry-optimized La2ScAl structure, as listed in Alexandria.

abc: 3.3674 5.6407 5.9312
angles: 90.00 98.33 90.00
With the nearest neighbours (Å) after each atom.
Fractional positions:
La1 0.1973 0.0000 0.2718  5 La 3.14-3.37, 2 Al 3.24, 2 Sc 3.47
La2 0.8027 0.0000 0.7282  5 La 3.14-3.37, 2 Al 3.24, 2 Sc 3.47
Sc1 0.5000 0.5000 0.0000  2 Al 3.19, 2 Sc 3.37, 4 La 3.47
Al1 0.0000 0.5000 0.5000  2 Sc 3.19, 4 La 3.24, 2 Al 3.37

## Properties
- Energy of formation: 0.029 eV per formula unit

---

First-principles (PBE) data for a geometry-optimized Tb3AlAg2 structure, as listed in Alexandria.

abc: 3.6140 3.6140 11.0967
angles: 90.00 90.00 90.00
With the nearest neighbours (Å) after each atom.
Fractional positions:
Tb1 0.0000 0.0000 0.0000  8 Ag 3.18
Tb2 0.0000 0.0000 0.3354  4 Al 3.14, 4 Ag 3.14
Tb3 0.0000 0.0000 0.6646  4 Al 3.14, 4 Ag 3.14
Al1 0.5000 0.5000 0.5000  8 Tb 3.14
Ag1 0.5000 0.5000 0.1704  8 Tb 3.14-3.18
Ag2 0.5000 0.5000 0.8296  8 Tb 3.14-3.18

## Properties
- Energy of formation: -2.078 eV per formula unit

---

First-principles (PBE) data for a geometry-optimized V2AgBi2 structure, as listed in Alexandria.

abc: 7.5424 7.5424 3.6259
angles: 90.00 90.00 90.00
With the nearest neighbours (Å) after each atom.
Fractional positions:
V1 0.1136 0.3864 0.0000  1 V 2.42
V2 0.3864 0.8864 0.0000  1 V 2.42
V3 0.6136 0.1136 0.0000  1 V 2.42
V4 0.8864 0.6136 0.0000  1 V 2.42
Ag1 0.0000 0.0000 0.0000  4 V 3.04, 8 Bi 3.32
Ag2 0.5000 0.5000 0.0000  4 V 3.04, 8 Bi 3.32
Bi1 0.1742 0.6742 0.5000  6 V 2.86-2.90
Bi2 0.3258 0.1742 0.5000  6 V 2.86-2.90
Bi3 0.6742 0.8258 0.5000  6 V 2.86-2.90
Bi4 0.8258 0.3258 0.5000  6 V 2.86-2.90

## Properties
- Energy of formation: 1.913 eV per formula unit

---

Which formula does entry 3 have?
V2AgBi2